Entry 1:
First-principles (GGA-PBEsol) data for a geometry-optimized CrRh3I structure, as listed in Alexandria via LeMat-Bulk.

Values from the calculation:
formation energy from raw total energies = 1.027 eV/atom

Geometry as POSCAR:
```
CrRh3I
1.0
4.466 0.000 0.000
0.000 4.466 0.000
0.000 0.000 4.466
Cr Rh I
1 3 1
direct
0.000 0.000 0.000
0.000 0.000 0.500
0.000 0.500 0.000
0.500 0.000 0.000
0.500 0.500 0.500
```

=====

Entry 2:
First-principles (GGA-PBEsol) data for a geometry-optimized ScCrRu2I structure, as listed in Alexandria via LeMat-Bulk.

Values from the calculation:
formation energy from raw total energies = 1.335 eV/atom

Geometry as POSCAR:
```
ScCrRu2I
1.0
4.738 0.000 0.000
0.000 4.738 0.000
0.000 0.000 4.604
Sc Cr Ru I
1 1 2 1
direct
0.000 0.000 0.000
0.500 0.500 0.000
0.000 0.500 0.500
0.500 0.000 0.500
0.500 0.500 0.500
```

=====

Entry 3:
First-principles (GGA-PBEsol) data for a geometry-optimized CrTeRuI2 structure, as listed in Alexandria via LeMat-Bulk.

Values from the calculation:
energy above the most stable polymorph in this dataset = 0 meV per atom
formation energy from raw total energies = 0.783 eV/atom

Geometry as POSCAR:
```
CrTeRuI2
1.0
5.460 0.000 0.000
0.000 5.460 0.000
0.000 0.000 4.919
Cr Te Ru I
1 1 1 2
direct
0.000 0.000 0.000
0.500 0.500 0.000
0.500 0.500 0.500
0.000 0.500 0.500
0.500 0.000 0.500
```

=====

Entry 4:
First-principles (GGA-PBEsol) data for a geometry-optimized CrTeRuI2 structure, as listed in Alexandria via LeMat-Bulk.

Values from the calculation:
energy above the most stable polymorph in this dataset = 390 meV per atom
formation energy from raw total energies = 1.173 eV/atom

Geometry as POSCAR:
```
CrTeRuI2
1.0
5.264 0.000 0.000
0.000 5.264 0.000
0.000 0.000 5.229
Cr Te Ru I
1 1 1 2
direct
0.000 0.000 0.000
0.000 0.000 0.500
0.500 0.500 0.500
0.000 0.500 0.000
0.500 0.000 0.000
```

=====

Entry 5:
First-principles (GGA-PBEsol) data for a geometry-optimized CrS2I structure, as listed in Alexandria via LeMat-Bulk.

Values from the calculation:
formation energy from raw total energies = 0.680 eV/atom

Geometry as POSCAR:
```
CrS2I
1.0
0.000 3.294 3.294
3.294 0.000 3.294
3.294 3.294 0.000
Cr S I
1 2 1
direct
0.000 0.000 0.000
0.250 0.250 0.250
0.750 0.750 0.750
0.500 0.500 0.500
```

=====

Entry 6:
First-principles (GGA-PBEsol) data for a geometry-optimized CrSbSI2 structure, as listed in Alexandria via LeMat-Bulk.

Values from the calculation:
formation energy from raw total energies = 0.839 eV/atom

Geometry as POSCAR:
```
CrSbSI2
1.0
5.263 0.000 0.000
0.000 5.263 0.000
0.000 0.000 5.376
Cr Sb S I
1 1 1 2
direct
0.000 0.000 0.000
0.500 0.500 0.000
0.500 0.500 0.500
0.000 0.500 0.500
0.500 0.000 0.500
```